Here is an optimized crystal structure of Ba2PaGeSe6 from the Alexandria database. Energies are from GGA-PBE.

a b c (Å): 7.514 7.514 7.663
angles (deg): 120.63 120.63 59.64
Sites, in units of the cell vectors:
1 Ba 0.248 0.248 0.261
2 Ba 0.752 0.752 0.739
3 Pa 0.000 0.000 0.500
4 Ge 0.500 0.500 0.000
5 Se 0.208 0.699 0.706
6 Se 0.253 0.253 0.837
7 Se 0.301 0.792 0.294
8 Se 0.699 0.208 0.706
9 Se 0.747 0.747 0.163
10 Se 0.792 0.301 0.294

Formation energy from raw total energies: -1319 meV/atom
Total energy: -52.06 eV/f.u.

---

Here is an optimized crystal structure of Ba2PaGeTe5 from the Alexandria database. Energies are from GGA-PBE.

a b c (Å): 10.238 10.238 14.541
angles (deg): 90.00 90.00 153.43
Sites, in units of the cell vectors:
1 Ba 0.105 0.895 0.500
2 Ba 0.130 0.870 0.131
3 Ba 0.870 0.130 0.631
4 Ba 0.895 0.105 0.000
5 Pa 0.210 0.790 0.843
6 Pa 0.790 0.210 0.343
7 Ge 0.451 0.549 0.266
8 Ge 0.549 0.451 0.766
9 Te 0.060 0.940 0.882
10 Te 0.281 0.719 0.485
11 Te 0.317 0.683 0.201
12 Te 0.362 0.638 0.819
13 Te 0.493 0.507 0.584
14 Te 0.507 0.493 0.084
15 Te 0.638 0.362 0.319
16 Te 0.683 0.317 0.701
17 Te 0.719 0.281 0.985
18 Te 0.940 0.060 0.382

Formation energy from raw total energies: -1039 meV/atom
Total energy: -43.02 eV/f.u.

---

Here is an optimized crystal structure of BaGe2Pb from the Alexandria database. Energies are from GGA-PBE.

a b c (Å): 6.910 6.910 6.910
angles (deg): 105.28 105.28 118.23
Sites, in units of the cell vectors:
1 Ba 0.000 0.000 0.000
2 Ba 0.750 0.250 0.500
3 Ge 0.173 0.625 0.048
4 Ge 0.375 0.423 0.548
5 Ge 0.577 0.125 0.952
6 Ge 0.875 0.827 0.452
7 Pb 0.250 0.750 0.500
8 Pb 0.500 0.500 0.000

Total energy: -15.20 eV/f.u.
Energy relative to the elements: -0.085 eV per atom

---

Here is an optimized crystal structure of BaGePb from the Alexandria database. Energies are from GGA-PBE.

a b c (Å): 4.060 5.348 9.833
angles (deg): 75.22 78.12 89.99
Sites, in units of the cell vectors:
1 Ba 0.000 0.000 0.000
2 Ba 0.216 0.171 0.567
3 Ge 0.346 0.847 0.304
4 Ge 0.768 0.691 0.461
5 Pb 0.421 0.422 0.164
6 Pb 0.606 0.587 0.788

Total energy: -11.33 eV/f.u.
Energy relative to the lowest polymorph listed for this composition: 106 meV per atom
Energy relative to the elements: -0.361 eV per atom

---

Here is an optimized crystal structure of Ba3GePb3 from the Alexandria database. Energies are from GGA-PBE.

a b c (Å): 6.961 6.961 16.555
angles (deg): 107.26 107.26 44.76
Sites, in units of the cell vectors:
1 Ba 0.016 0.016 0.383
2 Ba 0.102 0.102 0.921
3 Ba 0.229 0.229 0.236
4 Ba 0.771 0.771 0.764
5 Ba 0.898 0.898 0.079
6 Ba 0.984 0.984 0.617
7 Ge 0.267 0.267 0.621
8 Ge 0.733 0.733 0.379
9 Pb 0.326 0.326 0.465
10 Pb 0.391 0.391 0.922
11 Pb 0.482 0.482 0.765
12 Pb 0.518 0.518 0.235
13 Pb 0.609 0.609 0.078
14 Pb 0.674 0.674 0.535

Total energy: -24.92 eV/f.u.
Energy relative to the elements: -0.488 eV per atom

---

Here is an optimized crystal structure of BaGePb from the Alexandria database. Energies are from GGA-PBE.

a b c (Å): 6.687 8.212 8.224
angles (deg): 90.00 115.76 90.00
Sites, in units of the cell vectors:
1 Ba 0.220 0.170 0.399
2 Ba 0.220 0.330 0.899
3 Ba 0.780 0.670 0.101
4 Ba 0.780 0.830 0.601
5 Ge 0.357 0.563 0.269
6 Ge 0.357 0.937 0.769
7 Ge 0.643 0.063 0.231
8 Ge 0.643 0.437 0.731
9 Pb 0.247 0.634 0.564
10 Pb 0.247 0.866 0.064
11 Pb 0.753 0.134 0.936
12 Pb 0.753 0.366 0.436

Total energy: -11.47 eV/f.u.
Energy relative to the lowest polymorph listed for this composition: 61 meV per atom
Energy relative to the elements: -0.407 eV per atom